Entry 1:
CaZnS2 after structural relaxation. Source: the Alexandria database, functional GGA-PBE.

The formation energy from raw total energies comes out at -1.312 eV/atom. The crystal system is tetragonal.

a b c (Å): 6.472 6.472 8.942
angles (deg): 90.00 90.00 90.00
Space group I-42d (No. 122)
One atom of each set of equivalent atoms:
Ca  0.000  0.000  0.000 x4
Zn  0.000  0.000  0.500 x4
S  0.202  0.250  0.625 x8

Entry 2:
PuUPa2 after structural relaxation. Source: the Alexandria database, functional GGA-PBE.

The formation energy comes out at 0.0789 eV/atom. The energy above the lowest structure with this stoichiometry is 0 meV per atom. The crystal system is monoclinic.

a b c (Å): 6.393 3.717 7.562
angles (deg): 90.00 93.34 90.00
Space group P2_1/m (No. 11)
One atom of each set of equivalent atoms:
Pu  0.177  0.250  0.389 x2
U  0.332  0.750  0.592 x2
Pa  0.121  0.250  0.862 x2
Pa  0.380  0.750  0.134 x2

Entry 3:
Pm3DyTl4 after structural relaxation. Source: the Alexandria database, functional GGA-PBE.

The formation energy comes out at -0.3810 eV/atom. The crystal system is tetragonal.

a b c (Å): 3.851 3.851 15.500
angles (deg): 90.00 90.00 90.00
Space group P4/mmm (No. 123)
One atom of each set of equivalent atoms:
Pm  0.000  0.000  0.000 x1
Pm  0.000  0.000  0.254 x2
Dy  0.000  0.000  0.500 x1
Tl  0.500  0.500  0.127 x2
Tl  0.500  0.500  0.382 x2

Entry 4:
VIr2Pb after structural relaxation. Source: the Alexandria database, functional GGA-PBE.

The formation energy comes out at 0.6725 eV/atom. The crystal system is tetragonal.

a b c (Å): 5.964 5.964 10.806
angles (deg): 90.00 90.00 90.00
Space group I-42d (No. 122)
One atom of each set of equivalent atoms:
V  0.000  0.000  0.000 x4
Ir  0.200  0.250  0.125 x8
Pb  0.000  0.000  0.500 x4

Entry 5:
AsIrI3 after structural relaxation. Source: the Alexandria database, functional GGA-PBE.

The formation energy from raw total energies comes out at 1.272 eV/atom. The energy above the lowest structure with this stoichiometry is 558 meV per atom. The crystal system is cubic.

a b c (Å): 5.678 5.678 5.678
angles (deg): 90.00 90.00 90.00
Space group Pm-3m (No. 221)
One atom of each set of equivalent atoms:
As  0.000  0.000  0.000 x1
Ir  0.500  0.500  0.500 x1
I  0.000  0.000  0.500 x3

Entry 6:
La2TbPm6Tm3 after structural relaxation. Source: the Alexandria database, functional GGA-PBE.

The formation energy comes out at 0.0227 eV/atom. The crystal system is monoclinic.

a b c (Å): 6.279 10.880 11.959
angles (deg): 90.00 100.09 90.00
Space group C2/m (No. 12)
One atom of each set of equivalent atoms:
La  0.000  0.167  0.000 x4
Tb  0.000  0.500  0.000 x2
Pm  0.247  0.500  0.744 x4
Pm  0.249  0.166  0.744 x8
Tm  0.000  0.000  0.500 x2
Tm  0.000  0.334  0.500 x4

Entry 7:
Y4MgCd after structural relaxation. Source: the Alexandria database, functional GGA-PBE.

The formation energy comes out at 0.0612 eV/atom. The energy above the lowest structure with this stoichiometry is 0 meV per atom. The crystal system is orthorhombic.

a b c (Å): 3.553 5.729 9.090
angles (deg): 90.00 90.00 90.00
Space group Pmmm (No. 47)
One atom of each set of equivalent atoms:
Y  0.000  0.000  0.195 x2
Y  0.500  0.500  0.298 x2
Mg  0.500  0.000  0.500 x1
Cd  0.000  0.500  0.000 x1

Entry 8:
Ce8Os3CBr4 after structural relaxation. Source: the Alexandria database, functional GGA-PBE.

The formation energy from raw total energies comes out at -0.744 eV/atom. The crystal system is trigonal.

a b c (Å): 7.9924 7.9924 22.9241
angles (deg): 90.00 90.00 120.00
Space group R-3m (No. 166, hexagonal axes)
One atom of each set of equivalent atoms:
Ce  0.0000  0.0000  0.2330 x6
Ce  0.0202  0.5101  0.2294 x18
Os  0.0000  0.5000  0.5000 x9
C  0.0000  0.0000  0.5000 x3
Br  0.0000  0.0000  0.0000 x3
Br  0.0000  0.5000  0.0000 x9

Entry 9:
Ce2HgAu after structural relaxation. Source: the Alexandria database, functional GGA-PBE.

The formation energy comes out at -0.4394 eV/atom. The energy above the lowest structure with this stoichiometry is 0 meV per atom. The crystal system is tetragonal.

a b c (Å): 3.839 3.839 7.173
angles (deg): 90.00 90.00 90.00
Space group P4/mmm (No. 123)
One atom of each set of equivalent atoms:
Ce  0.000  0.000  0.233 x2
Hg  0.500  0.500  0.500 x1
Au  0.500  0.500  0.000 x1

Entry 10:
Er2GaCuS5 after structural relaxation. Source: the Alexandria database, functional GGA-PBE.

The formation energy from raw total energies comes out at -1.314 eV/atom. The crystal system is orthorhombic.

a b c (Å): 3.737 17.962 10.752
angles (deg): 90.00 90.00 90.00
Space group Cmc2_1 (No. 36)
One atom of each set of equivalent atoms:
Er  0.000  0.100  0.000 x4
Er  0.000  0.113  0.620 x4
Ga  0.000  0.406  0.796 x4
Cu  0.000  0.255  0.438 x4
S  0.000  0.040  0.384 x4
S  0.000  0.315  0.971 x4
S  0.000  0.321  0.639 x4
S  0.000  0.359  0.316 x4
S  0.000  0.498  0.612 x4

Entry 11:
IrPtS2N after structural relaxation. Source: the Alexandria database, functional GGA-PBE.

The formation energy from raw total energies comes out at 1.295 eV/atom. The energy above the lowest structure with this stoichiometry is 476 meV per atom. The crystal system is tetragonal.

a b c (Å): 4.852 4.852 3.596
angles (deg): 90.00 90.00 90.00
Space group P4/mmm (No. 123)
One atom of each set of equivalent atoms:
Ir  0.000  0.000  0.000 x1
Pt  0.500  0.500  0.500 x1
S  0.000  0.500  0.500 x2
N  0.500  0.500  0.000 x1

Entry 12:
VCo2Sb after structural relaxation. Source: the Alexandria database, functional GGA-PBE.

The formation energy from raw total energies comes out at 0.018 eV/atom. The crystal system is tetragonal.

a b c (Å): 3.926 3.926 3.539
angles (deg): 90.00 90.00 90.00
Space group P4/mmm (No. 123)
One atom of each set of equivalent atoms:
V  0.000  0.000  0.000 x1
Co  0.000  0.500  0.500 x2
Sb  0.500  0.500  0.000 x1

Entry 13:
LiCuRu2 after structural relaxation. Source: the Alexandria database, functional GGA-PBE.

The formation energy comes out at 0.7384 eV/atom. The energy above the lowest structure with this stoichiometry is 599 meV per atom. The crystal system is tetragonal.

a b c (Å): 7.028 7.028 4.758
angles (deg): 90.00 90.00 90.00
Space group I-42d (No. 122)
One atom of each set of equivalent atoms:
Li  0.000  0.000  0.000 x4
Cu  0.000  0.000  0.500 x4
Ru  0.222  0.250  0.625 x8

Entry 14:
CaRe2Tc after structural relaxation. Source: the Alexandria database, functional GGA-PBE.

The formation energy comes out at 0.5159 eV/atom. The energy above the lowest structure with this stoichiometry is 53 meV per atom. The crystal system is orthorhombic.

a b c (Å): 3.051 4.660 9.470
angles (deg): 90.00 90.00 90.00
Space group Immm (No. 71)
One atom of each set of equivalent atoms:
Ca  0.000  0.000  0.000 x2
Re  0.000  0.500  0.228 x4
Tc  0.000  0.000  0.500 x2

Entry 15:
NbAgSbO6 after structural relaxation. Source: the Alexandria database, functional GGA-PBE.

The formation energy from raw total energies comes out at -1.429 eV/atom. The crystal system is trigonal.

a b c (Å): 5.3953 5.3953 9.5841
angles (deg): 90.00 90.00 120.00
Space group P-31c (No. 163)
One atom of each set of equivalent atoms:
Nb  0.3333  0.6667  0.2500 x2
Ag  0.0000  0.0000  0.0000 x2
Sb  0.3333  0.6667  0.7500 x2
O  0.0017  0.3700  0.6380 x12

Entry 16:
BeCoRe2 after structural relaxation. Source: the Alexandria database, functional GGA-PBE.

The formation energy comes out at 0.6516 eV/atom. The crystal system is tetragonal.

a b c (Å): 3.601 3.601 17.142
angles (deg): 90.00 90.00 90.00
Space group I-42d (No. 122)
One atom of each set of equivalent atoms:
Be  0.000  0.000  0.000 x4
Co  0.000  0.000  0.500 x4
Re  0.227  0.250  0.125 x8

Entry 17:
BaDy2P2N6 after structural relaxation. Source: the Alexandria database, functional GGA-PBE.

The formation energy from raw total energies comes out at -0.954 eV/atom. The crystal system is triclinic.

a b c (Å): 6.012 6.030 6.419
angles (deg): 97.98 112.69 112.94
Space group P-1 (No. 2)
One atom of each set of equivalent atoms:
Ba  0.000  0.000  0.000 x1
Dy  0.369  0.298  0.671 x2
P  0.297  0.744  0.719 x2
N  0.098  0.859  0.620 x2
N  0.333  0.643  0.940 x2
N  0.476  0.715  0.600 x2

Entry 18:
Nd3IrRh8 after structural relaxation. Source: the Alexandria database, functional GGA-PBE.

The formation energy comes out at -0.3765 eV/atom. The crystal system is trigonal.

a b c (Å): 5.3525 5.3525 26.3538
angles (deg): 90.00 90.00 120.00
Space group R3m (No. 160, hexagonal axes)
One atom of each set of equivalent atoms:
Nd  0.0000  0.0000  0.0000 x3
Nd  0.0000  0.0000  0.1313 x3
Nd  0.0000  0.0000  0.6111 x3
Ir  0.0000  0.0000  0.4807 x3
Rh  0.0000  0.0000  0.3126 x3
Rh  0.0000  0.0000  0.8141 x3
Rh  0.1670  0.3339  0.8945 x9
Rh  0.1675  0.3351  0.3978 x9

Entry 19:
Na2LaNbIr after structural relaxation. Source: the Alexandria database, functional GGA-PBE.

The formation energy comes out at 1.6884 eV/atom. The crystal system is tetragonal.

a b c (Å): 5.272 5.272 5.364
angles (deg): 90.00 90.00 90.00
Space group P4/mmm (No. 123)
One atom of each set of equivalent atoms:
Na  0.000  0.500  0.000 x2
La  0.000  0.000  0.500 x1
Nb  0.000  0.000  0.000 x1
Ir  0.500  0.500  0.500 x1

Entry 20:
Cs3CrIn3Cl8 after structural relaxation. Source: the Alexandria database, functional GGA-PBE.

The formation energy from raw total energies comes out at -1.265 eV/atom. The crystal system is trigonal.

a b c (Å): 9.1991 9.1991 23.5038
angles (deg): 90.00 90.00 120.00
Space group R-3m (No. 166, hexagonal axes)
One atom of each set of equivalent atoms:
Cs  0.0000  0.5000  0.0000 x9
Cr  0.0000  0.0000  0.5000 x3
In  0.0000  0.5000  0.5000 x9
Cl  0.0000  0.0000  0.2417 x6
Cl  0.0662  0.5331  0.2277 x18